First-principles (PBE+U) data for a geometry-optimized Li4Co3Ni2Sn3O16 structure, as listed in the Alexandria database.

The electronic total energy is -5.594 eV per atom. The density of states at the Fermi level comes out at 0.01 states/eV/f.u. For the magnetic moment, the calculation gives 9.00 Bohr magnetons per cell.

Cell lengths 5.974, 6.002, 9.694 Å; angles 89.33, 89.35, 60.98 degrees
Space group P1 (No. 1)
One atom of each set of equivalent atoms:
Li: 0.000 0.000 0.000 x1
Li: 0.006 0.997 0.493 x1
Li: 0.302 0.302 0.114 x1
Li: 0.632 0.645 0.599 x1
Co: 0.142 0.148 0.780 x1
Co: 0.317 0.809 0.282 x1
Co: 0.809 0.316 0.279 x1
Ni: 0.313 0.315 0.503 x1
Ni: 0.638 0.651 0.009 x1
Sn: 0.140 0.641 0.780 x1
Sn: 0.635 0.148 0.781 x1
Sn: 0.811 0.808 0.283 x1
O: 0.005 0.962 0.181 x1
O: 0.008 0.443 0.659 x1
O: 0.151 0.668 0.395 x1
O: 0.155 0.134 0.373 x1
O: 0.295 0.303 0.896 x1
O: 0.297 0.839 0.886 x1
O: 0.438 0.016 0.660 x1
O: 0.458 0.463 0.652 x1
O: 0.486 0.507 0.173 x1
O: 0.486 0.937 0.161 x1
O: 0.622 0.658 0.394 x1
O: 0.671 0.161 0.391 x1
O: 0.818 0.824 0.905 x1
O: 0.833 0.302 0.888 x1
O: 0.934 0.473 0.162 x1
O: 0.985 0.991 0.677 x1